First-principles (GGA+U) data for crystalline NaPmWO5 at its relaxed geometry, as listed in Alexandria.

Unit cell a=6.4747 b=6.4747 c=8.2356 alpha=102.70 beta=102.70 gamma=112.91
Closest atoms and distances in Å follow each position.
Positions (direct):
Na1 0.2831 0.7169 0.2500  3 O 2.20-2.41
Na2 0.7169 0.2831 0.7500  3 O 2.20-2.41
Pm1 0.0000 0.0000 0.5000  6 O 2.23-2.48
Pm2 0.0000 0.0000 0.0000  6 O 2.23-2.48
W1 0.7023 0.2977 0.2500  4 O 1.81-1.83
W2 0.2977 0.7023 0.7500  4 O 1.81-1.83
O1 0.0794 0.9206 0.2500  1 Na 2.20, 2 Pm 2.23
O2 0.9206 0.0794 0.7500  1 Na 2.20, 2 Pm 2.23
O3 0.9373 0.3342 0.1530  1 W 1.83
O4 0.0627 0.6658 0.8470  1 W 1.83
O5 0.6658 0.0627 0.3470  1 W 1.83
O6 0.3342 0.9373 0.6530  1 W 1.83
O7 0.7791 0.5698 0.4230  1 W 1.81
O8 0.2209 0.4302 0.5770  1 W 1.81
O9 0.4302 0.2209 0.0770  1 W 1.81
O10 0.5698 0.7791 0.9230  1 W 1.81

Values from the calculation:
- Crystal system: monoclinic
- SG: No. 15
- Calculated total energy: -113.63 eV per cell